(1)
TiNbTe (PBE-GGA, optimized geometry); total moment = 0.00 μB/cell; crystal system = tetragonal; ΔE_f (raw) = -0.201 eV per atom; SG = No. 107; polymorph energy (0 for the lowest one) = 165 meV per atom; calculated total energy = -7.2363 eV/atom
1.0
3.568 0.000 0.000
0.000 3.568 0.000
0.000 0.000 8.907
Te Nb Ti
2 2 2
Direct
0.000 0.000 0.726
0.500 0.500 0.226
0.500 0.500 0.555
0.000 0.000 0.055
0.000 0.000 0.398
0.500 0.500 0.898

=====

(2)
Al2Cu5Si (PBE-GGA, optimized geometry); total moment = 0.00 μB/cell; crystal system = orthorhombic; ΔE_f (raw) = 0.020 eV per atom; SG = No. 71; polymorph energy (0 for the lowest one) = 138 meV per atom; calculated total energy = -4.1540 eV/atom
1.0
-1.377 4.078 4.760
1.377 -4.078 4.760
1.377 4.078 -4.760
Cu Al Si
5 2 1
Direct
0.855 0.633 0.222
0.500 0.000 0.500
0.589 0.367 0.222
0.411 0.633 0.778
0.145 0.367 0.778
0.761 0.261 0.500
0.239 0.739 0.500
0.000 0.000 0.000

=====

(3)
SiGeAu2 (PBE-GGA, optimized geometry); total moment = 0.00 μB/cell; crystal system = trigonal; ΔE_f (raw) = 0.103 eV per atom; SG = No. 166; polymorph energy (0 for the lowest one) = 22 meV per atom; calculated total energy = -4.0460 eV/atom
1.0
-3.016 -0.658 2.039
-1.717 -3.269 -0.237
2.122 -3.594 5.335
Au Ge Si
2 1 1
Direct
0.743 0.743 0.772
0.257 0.257 0.228
0.500 0.500 0.500
0.000 0.000 0.000

=====

> Which formula does entry 2 have?

Al2Cu5Si

=====

> Which formula does entry 2 have?

Al2Cu5Si

=====

> Which value of calculated total energy does entry 2 give?

-4.1540 eV/atom